Entry 1:
# TeSe3Br | Alexandria via LeMat-Bulk | PBE | relaxed
# Space group: No. 221
# ΔE_f (raw) in eV/atom: 0.64
data_TeSe3Br
_space_group_name_H-M_alt 'P 1'
_space_group_IT_number 1
_cell_length_a 5.4162
_cell_length_b 5.4162
_cell_length_c 5.4162
_cell_angle_alpha 90.00
_cell_angle_beta 90.00
_cell_angle_gamma 90.00
loop_
_space_group_symop_operation_xyz
'x,y,z'
loop_
_atom_site_label
_atom_site_fract_x
_atom_site_fract_y
_atom_site_fract_z
Te1 0.0000 0.0000 0.0000
Se1 0.0000 0.0000 0.5000
Se2 0.0000 0.5000 0.0000
Se3 0.5000 0.0000 0.0000
Br1 0.5000 0.5000 0.5000



Entry 2:
# Mo2RuW | Alexandria via LeMat-Bulk | PBE | relaxed
# Space group: No. 44
# Calculated formation energy in meV/atom: 117
data_Mo2RuW
_space_group_name_H-M_alt 'P 1'
_space_group_IT_number 1
_cell_length_a 5.1932
_cell_length_b 5.1932
_cell_length_c 5.1932
_cell_angle_alpha 144.80
_cell_angle_beta 128.81
_cell_angle_gamma 63.65
loop_
_space_group_symop_operation_xyz
'x,y,z'
loop_
_atom_site_label
_atom_site_fract_x
_atom_site_fract_y
_atom_site_fract_z
Mo1 0.0000 0.0000 0.0000
Mo2 0.7571 0.2571 0.5000
Ru1 0.2621 0.7621 0.5000
W1 0.5173 0.5173 0.0000



Entry 3:
# CaCd7Pd5 | Alexandria via LeMat-Bulk | PBE | relaxed
# Space group: No. 44
# Calculated formation energy in meV/atom: -392
data_CaCd7Pd5
_space_group_name_H-M_alt 'P 1'
_space_group_IT_number 1
_cell_length_a 7.3178
_cell_length_b 7.3178
_cell_length_c 7.3178
_cell_angle_alpha 134.14
_cell_angle_beta 98.20
_cell_angle_gamma 99.27
loop_
_space_group_symop_operation_xyz
'x,y,z'
loop_
_atom_site_label
_atom_site_fract_x
_atom_site_fract_y
_atom_site_fract_z
Ca1 0.0000 0.0000 0.0000
Cd1 0.2231 0.5203 0.7028
Cd2 0.2534 0.7534 0.5000
Cd3 0.3520 0.3520 0.0000
Cd4 0.3758 0.0352 0.3406
Cd5 0.6768 0.6768 0.0000
Cd6 0.6946 0.0352 0.6594
Cd7 0.8175 0.5203 0.2972
Pd1 0.0266 0.0227 0.4971
Pd2 0.0266 0.5296 0.0040
Pd3 0.5256 0.0227 0.9960
Pd4 0.5256 0.5296 0.5029
Pd5 0.7977 0.2977 0.5000



Entry 4:
# PHOsN | Alexandria via LeMat-Bulk | PBE | relaxed
# Space group: No. 38
# Final energy in eV/atom: -6.859
data_PHOsN
_space_group_name_H-M_alt 'P 1'
_space_group_IT_number 1
_cell_length_a 3.6622
_cell_length_b 4.1957
_cell_length_c 4.1957
_cell_angle_alpha 38.35
_cell_angle_beta 90.00
_cell_angle_gamma 90.00
loop_
_space_group_symop_operation_xyz
'x,y,z'
loop_
_atom_site_label
_atom_site_fract_x
_atom_site_fract_y
_atom_site_fract_z
P1 0.0000 0.0000 0.0000
H1 0.5000 0.5515 0.5515
Os1 0.5000 0.1812 0.1812
N1 0.0000 0.3654 0.3654